The following is a DFT calculation (PBE-GGA) of a geometry-optimized NbRu3C structure.

Computed properties:
- Fermi-level density of states: 0.717 states/eV/atom
- ΔE_f: -0.17 eV per formula unit

Geometry as CIF:
```
data_NbRu3C
_chemical_formula_sum 'Nb1 Ru3 C1'
_space_group_name_H-M_alt 'P m -3 m'
_space_group_IT_number 221
_space_group_name_Hall '-P 4 2 3'
_cell_length_a 4.0630
_cell_length_b 4.0630
_cell_length_c 4.0630
_cell_angle_alpha 90.00
_cell_angle_beta 90.00
_cell_angle_gamma 90.00
loop_
_atom_site_label
_atom_site_type_symbol
_atom_site_fract_x
_atom_site_fract_y
_atom_site_fract_z
_atom_site_occupancy
Nb1 Nb 0.0000 0.0000 0.0000 1
Ru1 Ru 0.0000 0.5000 0.5000 1
C1 C 0.5000 0.5000 0.5000 1
```